CrSeO after structural relaxation. Source: Alexandria, functional PBE with a Hubbard U.

Computed properties:
**Final energy**: -38.3 eV per cell
**Total moment**: 3.00 μB/f.u.
**Calculated volume**: 16.41 Å³/atom

Structure (extended XYZ):
```
6
Lattice="3.447 0.000 0.000 -0.003 3.974 0.000 -1.711 -1.791 7.187" Properties=species:S:1:pos:R:3 pbc="T T T"
Cr 0.006 0.100 2.756
Cr 1.727 2.083 4.432
Se 0.003 1.497 6.221
Se 1.729 0.686 0.966
O 0.004 2.090 3.187
O 1.729 0.093 4.000
```